Entry 1:
The following is a PBE calculation of a geometry-optimized TlCuPSe3 structure, from Alexandria.

POSCAR file:
```
TlCuPSe3
1.0
-3.746 -7.264 4.022
7.288 -2.526 2.225
6.323 2.082 9.647
Se P Cu Tl
12 4 4 4
Cartesian
0.729 -2.211 1.529 Se
3.277 -8.117 8.378 Se
7.688 -2.928 7.605 Se
11.058 -1.482 12.204 Se
1.787 -3.810 4.453 Se
6.587 0.408 7.517 Se
-1.194 -6.227 3.691 Se
3.777 -1.392 6.475 Se
8.077 -3.898 11.441 Se
6.088 -6.316 9.420 Se
2.177 -4.780 8.290 Se
9.135 -5.497 14.366 Se
8.122 -5.574 9.997 P
1.742 -2.134 5.898 P
3.881 -8.708 6.332 P
5.983 1.000 9.562 P
2.225 -4.751 10.627 Cu
7.640 -2.958 5.267 Cu
-0.332 -4.620 5.156 Cu
10.197 -3.088 10.739 Cu
4.766 -4.586 5.788 Tl
5.098 -3.123 10.107 Tl
9.552 -0.394 8.867 Tl
0.313 -7.314 7.028 Tl
```

Calculated values
- Symmetry: P2_1/c
- Size of the total moment: 0.00 μB/f.u.
- Electronic total energy: -95.271 eV/cell
- DOS at the Fermi energy: 0.0000 states/eV/atom

***

Entry 2:
The following is a PBE calculation of a geometry-optimized RbYPb structure, from Alexandria.

POSCAR file:
```
RbYPb
1.0
8.623 0.002 0.001
-0.011 3.796 0.000
-3.034 -0.004 8.159
Rb Y Pb
2 2 2
Cartesian
6.966 3.099 4.226 Rb
4.410 3.117 7.950 Rb
2.303 3.127 4.301 Y
3.225 3.124 0.672 Y
1.340 1.224 6.612 Pb
1.052 1.221 2.053 Pb
```

Calculated values
- Symmetry: P1
- Size of the total moment: 0.00 μB/f.u.
- Electronic total energy: -22.663 eV/cell
- DOS at the Fermi energy: 0.9045 states/eV/atom

***

Entry 3:
The following is a PBE calculation of a geometry-optimized Tl5In6Hg structure, from Alexandria.

POSCAR file:
```
Tl5In6Hg
1.0
5.346 -0.126 -1.822
-3.039 7.848 0.254
-0.440 0.924 8.358
Tl In Hg
5 6 1
Cartesian
-2.174 5.544 2.951 Tl
-1.305 3.228 5.661 Tl
1.810 1.989 6.127 Tl
0.934 4.323 3.395 Tl
0.058 6.658 0.663 Tl
-1.294 6.536 6.000 In
1.829 5.396 6.457 In
0.038 3.251 0.333 In
0.978 7.664 3.803 In
3.162 2.111 0.790 In
0.890 0.983 2.987 In
0.000 0.000 0.000 Hg
```

Calculated values
- Symmetry: C2/m
- Size of the total moment: 0.00 μB/f.u.
- Electronic total energy: -28.329 eV/cell
- DOS at the Fermi energy: 0.3033 states/eV/atom

***

Entry 4:
The following is a PBE calculation of a geometry-optimized LiTe2PI structure, from Alexandria.

POSCAR file:
```
LiTe2PI
1.0
5.351 0.000 0.000
0.000 5.351 0.000
0.000 0.000 5.574
Te I P Li
2 1 1 1
Cartesian
2.675 0.000 0.000 Te
0.000 2.675 0.000 Te
0.000 0.000 2.787 I
0.000 0.000 0.000 P
2.675 2.675 2.787 Li
```

Calculated values
- Symmetry: P4/mmm
- Size of the total moment: 0.00 μB/f.u.
- Electronic total energy: -14.504 eV/cell
- DOS at the Fermi energy: 1.2686 states/eV/atom